[1]
ZrTlBi2 | Alexandria via LeMat-Bulk | SCAN | PBEsol geometry; total moment = 0.0 μB/f.u.; calculated volume = 39.71 Å³ per atom; DFT formation energy = 0.23 eV/atom
1.0
-3.4097 3.4097 6.8321
3.4097 -3.4097 6.8321
3.4097 3.4097 -6.8321
Zr Tl Bi
2 2 4
Cartesian
0.0000 0.0000 0.0000
0.0000 3.4097 3.4161
3.4097 0.0000 3.4161
0.0000 0.0000 6.8321
5.1145 1.5070 -1.7080
1.5070 1.7048 1.7080
-1.7048 1.9026 5.1241
1.9026 1.7048 8.5402

[2]
ZrTlBi3 | Alexandria via LeMat-Bulk | SCAN | PBEsol geometry; total moment = 1.5 μB/f.u.; calculated volume = 35.24 Å³ per atom; DFT formation energy = 1.11 eV/atom
1.0
5.6063 0.0000 0.0000
0.0000 5.6063 0.0000
0.0000 0.0000 5.6063
Zr Tl Bi
1 1 3
Cartesian
0.0000 0.0000 0.0000
2.8032 2.8032 2.8032
0.0000 2.8032 2.8032
2.8032 0.0000 2.8032
2.8032 2.8032 0.0000

[3]
Zr2TlBi | Alexandria via LeMat-Bulk | SCAN | PBEsol geometry; total moment = 0.0 μB/f.u.; calculated volume = 22.77 Å³ per atom; DFT formation energy = -0.14 eV/atom
1.0
0.0000 3.5709 3.5709
3.5709 0.0000 3.5709
3.5709 3.5709 0.0000
Zr Tl Bi
2 1 1
Cartesian
1.7854 1.7854 1.7854
5.3563 5.3563 5.3563
0.0000 0.0000 0.0000
3.5709 3.5709 3.5709

[4]
ZrTl2Bi2 | Alexandria via LeMat-Bulk | SCAN | PBEsol geometry; total moment = 0.0 μB/f.u.; calculated volume = 29.42 Å³ per atom; DFT formation energy = 0.49 eV/atom
1.0
-2.1505 2.1505 7.9525
2.1505 -2.1505 7.9525
2.1505 2.1505 -7.9525
Zr Tl Bi
1 2 2
Cartesian
0.0000 0.0000 0.0000
0.0000 0.0000 6.5352
0.0000 0.0000 9.3698
2.1505 0.0000 3.9763
0.0000 2.1505 3.9763

One value per record, in order, for calculated total energy: -518.59; -333.27; -212.91; -330.14 eV for the cell shown.